[1]
# CaZnBr4

A relaxed CaZnBr4 crystal (PBE, Alexandria via LeMat-Bulk).

total moment	0.00	μB/f.u.
excess energy over the best structure of this formula in the dataset	0.0333	eV/atom
crystal system	monoclinic
E	-3.050	eV per atom
space group	No. 14
E_form (uncorrected)	-1388	meV per atom

Unit cell a=7.0270 b=4.0379 c=15.3465 alpha=90.00 beta=116.31 gamma=90.00
Closest atoms and distances in Å follow each position.
Fractional positions:
Ca (0.0000, 0.0000, 0.0000)  6 Br 2.89-2.91
Ca (0.0000, 0.5000, 0.5000)  6 Br 2.89-2.91
Zn (0.5000, 0.0000, 0.5000)  6 Br 2.64-2.72
Zn (0.5000, 0.5000, 0.0000)  6 Br 2.64-2.72
Br (0.0858, 0.0000, 0.3877)  1 Zn 2.64, 2 Ca 2.89
Br (0.0858, 0.5000, 0.8877)  1 Zn 2.64, 2 Ca 2.89
Br (0.4604, 0.0015, 0.1094)  2 Zn 2.71-2.72, 1 Ca 2.91
Br (0.4604, 0.4985, 0.6094)  2 Zn 2.71-2.72, 1 Ca 2.91
Br (0.5396, 0.5015, 0.3906)  2 Zn 2.71-2.72, 1 Ca 2.91
Br (0.5396, 0.9985, 0.8906)  2 Zn 2.71-2.72, 1 Ca 2.91
Br (0.9142, 0.0000, 0.6123)  1 Zn 2.64, 2 Ca 2.89
Br (0.9142, 0.5000, 0.1123)  1 Zn 2.64, 2 Ca 2.89

***

[2]
# CdCu

A relaxed CdCu crystal (PBE, Alexandria via LeMat-Bulk).

total moment	0.00	μB/f.u.
crystal system	orthorhombic
ΔH_f (0 K)	72.1	meV/atom
E	-2.434	eV per atom
space group	No. 62

Unit cell a=5.2291 b=4.5548 c=5.5585 alpha=90.00 beta=90.00 gamma=90.00
Closest atoms and distances in Å follow each position.
Fractional positions:
Cd (0.1205, 0.2500, 0.1269)  7 Cu 2.74-2.84, 4 Cd 2.95-2.96
Cd (0.3795, 0.7500, 0.6269)  7 Cu 2.74-2.84, 4 Cd 2.95-2.96
Cd (0.6205, 0.2500, 0.3731)  7 Cu 2.74-2.84, 4 Cd 2.95-2.96
Cd (0.8795, 0.7500, 0.8731)  7 Cu 2.74-2.84, 4 Cd 2.95-2.96
Cu (0.0695, 0.2500, 0.6273)  7 Cd 2.74-2.84, 4 Cu 2.78-2.95
Cu (0.4305, 0.7500, 0.1273)  7 Cd 2.74-2.84, 4 Cu 2.78-2.95
Cu (0.5695, 0.2500, 0.8727)  7 Cd 2.74-2.84, 4 Cu 2.78-2.95
Cu (0.9305, 0.7500, 0.3727)  7 Cd 2.74-2.84, 4 Cu 2.78-2.95

***

[3]
# TcIrW2

A relaxed TcIrW2 crystal (PBE, Alexandria via LeMat-Bulk).

total moment	0.00	μB/f.u.
excess energy over the best structure of this formula in the dataset	0.1089	eV/atom
crystal system	orthorhombic
ΔH_f (0 K)	39.5	meV/atom
E	-11.244	eV per atom
space group	No. 25

Unit cell a=2.7755 b=3.9190 c=5.6700 alpha=90.00 beta=90.00 gamma=90.00
Closest atoms and distances in Å follow each position.
Fractional positions:
Tc (0.0000, 0.0000, 0.0000)  6 W 2.76-2.90, 2 Tc 2.78, 4 Ir 2.79
Ir (0.5000, 0.5000, 0.7483)  6 W 2.75-2.89, 2 Ir 2.78, 4 Tc 2.79
W (0.0000, 0.0000, 0.5112)  4 Ir 2.75, 2 Tc 2.77-2.90, 6 W 2.78-2.85
W (0.5000, 0.5000, 0.2391)  4 Tc 2.76, 6 W 2.78-2.85, 2 Ir 2.78-2.89

***

[4]
# ZnOs2Rh

A relaxed ZnOs2Rh crystal (PBE, Alexandria via LeMat-Bulk).

total moment	1.01	μB/f.u.
crystal system	orthorhombic
ΔH_f (0 K)	325.6	meV/atom
E	-7.446	eV per atom
space group	No. 35

Unit cell a=2.7115 b=2.7115 c=9.0623 alpha=90.00 beta=90.00 gamma=118.86
Closest atoms and distances in Å follow each position.
Fractional positions:
Zn (0.0000, 0.0000, 0.0000)  2 Rh 2.58, 2 Os 2.68, 6 Zn 2.71-2.76
Os (0.0000, 0.0000, 0.5028)  8 Os 2.64-2.76, 2 Rh 2.70
Os (0.5000, 0.5000, 0.2540)  8 Os 2.64-2.76, 2 Zn 2.68
Rh (0.5000, 0.5000, 0.7591)  2 Zn 2.58, 2 Os 2.70, 6 Rh 2.71-2.76

***

- Look up the E of the fourth one.
  -7.446 eV per atom

***

- Look up the E of the fourth one.
  -7.446 eV per atom

***

- What is the total moment in the fourth record?
  1.01 μB/f.u.